# 1
The following is a PBE-GGA calculation of a relaxed La2HoScSe6 crystal, from Alexandria via LeMat-Bulk.

Summary:
formation energy from raw total energies	-44.28	kcal/mol of atoms

abc: 6.927 7.670 12.305
angles: 90.00 123.50 90.00
Space group P2_1/c (No. 14)
Unique sites:
1 La 0.207 0.103 0.248 (multiplicity 4)
2 Ho 0.500 0.000 0.000 (multiplicity 2)
3 Sc 0.000 0.000 0.500 (multiplicity 2)
4 Se 0.103 0.190 0.934 (multiplicity 4)
5 Se 0.254 0.680 0.935 (multiplicity 4)
6 Se 0.379 0.041 0.743 (multiplicity 4)

=====

# 2
The following is a PBE-GGA calculation of a relaxed La2HoScSe4 crystal, from Alexandria via LeMat-Bulk.

Summary:
formation energy from raw total energies	-41.96	kcal/mol of atoms

abc: 7.083 4.068 7.351
angles: 90.00 108.60 90.00
Space group P2/m (No. 10)
Unique sites:
1 La 0.000 0.000 0.000 (multiplicity 1)
2 La 0.500 0.500 0.000 (multiplicity 1)
3 Ho 0.000 0.500 0.500 (multiplicity 1)
4 Sc 0.500 0.000 0.500 (multiplicity 1)
5 Se 0.248 0.000 0.725 (multiplicity 2)
6 Se 0.267 0.500 0.280 (multiplicity 2)

=====

# 3
The following is a PBE-GGA calculation of a relaxed La6SmHo2Sc crystal, from Alexandria via LeMat-Bulk.

Summary:
ΔE_f	214	meV per atom

abc: 11.627 7.035 8.853
angles: 90.00 104.86 90.00
Space group C2/m (No. 12)
Unique sites:
1 La 0.139 0.000 0.403 (multiplicity 4)
2 La 0.158 0.255 0.800 (multiplicity 8)
3 Sm 0.000 0.500 0.500 (multiplicity 2)
4 Ho 0.098 0.500 0.164 (multiplicity 4)
5 Sc 0.000 0.000 0.000 (multiplicity 2)

=====

# 4
The following is a PBE-GGA calculation of a relaxed LaSm3HoSc crystal, from Alexandria via LeMat-Bulk.

Summary:
ΔE_f	45	meV per atom

abc: 5.003 15.180 10.173
angles: 90.00 90.00 90.00
Space group Cmcm (No. 63)
Unique sites:
1 La 0.000 0.005 0.250 (multiplicity 4)
2 Sm 0.000 0.167 0.001 (multiplicity 8)
3 Sm 0.000 0.329 0.250 (multiplicity 4)
4 Ho 0.000 0.500 0.000 (multiplicity 4)
5 Sc 0.000 0.331 0.750 (multiplicity 4)

=====

# 5
The following is a PBE-GGA calculation of a relaxed LaSmHo3Sc crystal, from Alexandria via LeMat-Bulk.

Summary:
ΔE_f	49	meV per atom

abc: 5.011 14.963 10.040
angles: 90.00 90.00 90.00
Space group Cmcm (No. 63)
Unique sites:
1 La 0.000 0.002 0.250 (multiplicity 4)
2 Sm 0.000 0.500 0.000 (multiplicity 4)
3 Ho 0.000 0.169 0.501 (multiplicity 8)
4 Ho 0.000 0.328 0.250 (multiplicity 4)
5 Sc 0.000 0.330 0.750 (multiplicity 4)

=====

# 6
The following is a PBE-GGA calculation of a relaxed LaSm2HoSc crystal, from Alexandria via LeMat-Bulk.

Summary:
ΔE_f	211	meV per atom

abc: 3.640 5.529 8.366
angles: 90.00 90.07 90.00
Space group P2/m (No. 10)
Unique sites:
1 La 0.000 0.000 0.000 (multiplicity 1)
2 Sm 0.001 0.500 0.314 (multiplicity 2)
3 Ho 0.500 0.000 0.500 (multiplicity 1)
4 Sc 0.500 0.500 0.000 (multiplicity 1)

=====

# 7
The following is a PBE-GGA calculation of a relaxed LaSm2Ho4Sc crystal, from Alexandria via LeMat-Bulk.

Summary:
ΔE_f	411	meV per atom

abc: 6.742 11.700 13.107
angles: 90.00 90.00 90.00
Space group Imma (No. 74)
Unique sites:
1 La 0.000 0.000 0.000 (multiplicity 4)
2 Sm 0.000 0.000 0.500 (multiplicity 4)
3 Sm 0.250 0.250 0.250 (multiplicity 4)
4 Ho 0.000 0.014 0.751 (multiplicity 8)
5 Ho 0.249 0.250 0.513 (multiplicity 8)
6 Sc 0.250 0.250 0.750 (multiplicity 4)

=====

# 8
The following is a PBE-GGA calculation of a relaxed La6Sm2HoSc crystal, from Alexandria via LeMat-Bulk.

Summary:
ΔE_f	197	meV per atom

abc: 10.893 7.387 9.097
angles: 90.00 106.44 90.00
Space group C2/m (No. 12)
Unique sites:
1 La 0.139 0.229 0.286 (multiplicity 8)
2 La 0.161 0.500 0.938 (multiplicity 4)
3 Sm 0.119 0.000 0.653 (multiplicity 4)
4 Ho 0.000 0.500 0.500 (multiplicity 2)
5 Sc 0.000 0.000 0.000 (multiplicity 2)

=====

# 9
The following is a PBE-GGA calculation of a relaxed LaSmHoSc crystal, from Alexandria via LeMat-Bulk.

Summary:
ΔE_f	89	meV per atom

abc: 12.231 5.724 3.823
angles: 90.00 108.11 90.00
Space group Cm (No. 8)
Unique sites:
1 La 0.000 0.000 0.000 (multiplicity 2)
2 Sm 0.227 0.500 0.211 (multiplicity 2)
3 Ho 0.267 0.000 0.752 (multiplicity 2)
4 Sc 0.495 0.000 0.485 (multiplicity 2)

=====

# 10
The following is a PBE-GGA calculation of a relaxed LaSm2Ho5Sc crystal, from Alexandria via LeMat-Bulk.

Summary:
ΔE_f	275	meV per atom

abc: 8.697 8.697 15.209
angles: 90.00 90.00 90.00
Space group I4/mcm (No. 140)
Unique sites:
1 La 0.000 0.000 0.250 (multiplicity 4)
2 Sm 0.118 0.382 0.000 (multiplicity 8)
3 Ho 0.000 0.000 0.000 (multiplicity 4)
4 Ho 0.204 0.296 0.362 (multiplicity 16)
5 Sc 0.000 0.500 0.250 (multiplicity 4)

=====

# 11
The following is a PBE-GGA calculation of a relaxed LaSmHoSc crystal, from Alexandria via LeMat-Bulk.

Summary:
ΔE_f	94	meV per atom

abc: 7.972 7.972 7.972
angles: 90.00 90.00 90.00
Space group F-43m (No. 216)
Unique sites:
1 La 0.000 0.000 0.000 (multiplicity 4)
2 Sm 0.000 0.000 0.500 (multiplicity 4)
3 Ho 0.250 0.250 0.750 (multiplicity 4)
4 Sc 0.250 0.250 0.250 (multiplicity 4)

=====

# 12
The following is a PBE-GGA calculation of a relaxed LaSm5Ho2Sc crystal, from Alexandria via LeMat-Bulk.

Summary:
ΔE_f	169	meV per atom

abc: 5.655 19.975 10.481
angles: 90.00 90.00 90.00
Space group Cmc2_1 (No. 36)
Unique sites:
1 La 0.000 0.086 0.000 (multiplicity 4)
2 Sm 0.000 0.016 0.286 (multiplicity 4)
3 Sm 0.000 0.125 0.564 (multiplicity 4)
4 Sm 0.000 0.203 0.251 (multiplicity 4)
5 Sm 0.000 0.223 0.866 (multiplicity 4)
6 Sm 0.000 0.482 0.564 (multiplicity 4)
7 Ho 0.000 0.385 0.279 (multiplicity 4)
8 Ho 0.000 0.388 0.858 (multiplicity 4)
9 Sc 0.000 0.304 0.558 (multiplicity 4)

=====

Volume in Å³ per cell, matching the order above: 545.16, 200.78, 699.90, 772.53, 752.78, 168.35, 1033.83, 702.09, 254.36, 1150.27, 506.60, 1183.89